# 1
# MnSbOs3

A crystal of MnSbOs3 relaxed with PBEsol (meta-GGA SCAN, Alexandria via LeMat-Bulk).

Cell: 4.4305 4.4305 4.4305 Å, 90.00 90.00 90.00°
Fractional coordinates of all 5 atoms:
Mn1 0.0000 0.0000 0.0000
Sb1 0.5000 0.5000 0.5000
Os1 0.0000 0.0000 0.5000
Os2 0.0000 0.5000 0.0000
Os3 0.5000 0.0000 0.0000

Space group: No. 221
Theoretical density, Mg/m³: 14.271
E_form (uncorrected), eV per formula unit: 8.4
Total energy, eV per atom: -52.545

***

# 2
# MnSb2Os

A crystal of MnSb2Os relaxed with PBEsol (meta-GGA SCAN, Alexandria via LeMat-Bulk).

Cell: 3.1212 3.1212 7.8877 Å, 90.00 90.00 90.00°
Fractional coordinates of all 4 atoms:
Mn1 0.0000 0.0000 0.0000
Sb1 0.0000 0.0000 0.3968
Sb2 0.5000 0.5000 0.7894
Os1 0.5000 0.5000 0.1860

Space group: No. 99
Theoretical density, Mg/m³: 10.561
E_form (uncorrected), eV per formula unit: 0.4
Total energy, eV per atom: -41.058

***

# 3
# ScMnOs

A crystal of ScMnOs relaxed with PBEsol (meta-GGA SCAN, Alexandria via LeMat-Bulk).

Cell: 4.0823 4.0823 4.0823 Å, 60.00 60.00 60.00°
Fractional coordinates of all 3 atoms:
Sc1 0.0000 0.0000 0.0000
Mn1 0.7500 0.7500 0.7500
Os1 0.5000 0.5000 0.5000

Space group: No. 216
Theoretical density, Mg/m³: 10.015
Total energy, eV per atom: -34.555

***

# 4
# Sc2MnOs

A crystal of Sc2MnOs relaxed with PBEsol (meta-GGA SCAN, Alexandria via LeMat-Bulk).

Cell: 4.4153 4.4153 4.4153 Å, 60.00 60.00 60.00°
Fractional coordinates of all 4 atoms:
Sc1 0.0000 0.0000 0.0000
Sc2 0.2500 0.2500 0.2500
Mn1 0.7500 0.7500 0.7500
Os1 0.5000 0.5000 0.5000

Space group: No. 216
Theoretical density, Mg/m³: 9.142
Total energy, eV per atom: -29.618

***

# 5
# ScMn2Os

A crystal of ScMn2Os relaxed with PBEsol (meta-GGA SCAN, Alexandria via LeMat-Bulk).

Cell: 2.9669 2.9669 6.2299 Å, 90.00 90.00 90.00°
Fractional coordinates of all 4 atoms:
Sc1 0.0000 0.0000 0.0000
Mn1 0.0000 0.0000 0.4758
Mn2 0.5000 0.5000 0.2793
Os1 0.5000 0.5000 0.7095

Space group: No. 99
Theoretical density, Mg/m³: 10.449
Total energy, eV per atom: -30.761

***

# 6
# Sc2MnOs

A crystal of Sc2MnOs relaxed with PBEsol (meta-GGA SCAN, Alexandria via LeMat-Bulk).

Cell: 4.5313 4.5313 4.5313 Å, 60.00 60.00 60.00°
Fractional coordinates of all 4 atoms:
Sc1 0.2500 0.2500 0.2500
Sc2 0.7500 0.7500 0.7500
Mn1 0.0000 0.0000 0.0000
Os1 0.5000 0.5000 0.5000

Space group: No. 225
Theoretical density, Mg/m³: 8.458
Total energy, eV per atom: -30.086

***

Calculated M_tot in order - 0.00, 3.57, 0.56, 0.00, 1.15, 3.53 μB per cell